No. 1
Computed, not measured: an optimized crystal structure of EuLuZnSi at the GGA-PBE level of DFT.

Cell lengths 5.0260, 5.0260, 5.0260 Å; angles 60.00, 60.00, 60.00 degrees
Last column: nearest neighbours and their distance in Å.
Atoms (fractional coordinates):
Eu: 0.0000 0.0000 0.0000  4 Zn 3.08, 4 Si 3.08
Lu: 0.5000 0.5000 0.5000  4 Si 3.08, 4 Zn 3.08
Zn: 0.7500 0.7500 0.7500  4 Lu 3.08, 4 Eu 3.08
Si: 0.2500 0.2500 0.2500  4 Lu 3.08, 4 Eu 3.08

ΔE_f (raw) = -368 meV/atom



No. 2
Computed, not measured: an optimized crystal structure of CdSb2Se at the GGA-PBE level of DFT.

Cell lengths 5.2028, 5.2028, 5.2028 Å; angles 60.00, 60.00, 60.00 degrees
Last column: nearest neighbours and their distance in Å.
Atoms (fractional coordinates):
Cd: 0.0000 0.0000 0.0000  8 Sb 3.19
Sb: 0.2500 0.2500 0.2500  4 Cd 3.19, 4 Se 3.19
Sb: 0.7500 0.7500 0.7500  4 Cd 3.19, 4 Se 3.19
Se: 0.5000 0.5000 0.5000  8 Sb 3.19

ΔE_f (raw) = 231 meV/atom
Distance to the lowest polymorph of the same formula = 390 meV per atom



No. 3
Computed, not measured: an optimized crystal structure of CeHo2Zn at the GGA-PBE level of DFT.

Cell lengths 10.5352, 10.5352, 10.5352 Å; angles 19.21, 19.21, 19.21 degrees
Last column: nearest neighbours and their distance in Å.
Atoms (fractional coordinates):
Ce: 0.0000 0.0000 0.0000  6 Ce 3.52, 6 Ho 3.56-3.57
Ho: 0.5718 0.5718 0.5718  3 Zn 3.03
Ho: 0.7610 0.7610 0.7610  3 Zn 3.01
Zn: 0.1661 0.1661 0.1661  6 Ho 3.01-3.03

Distance to the lowest polymorph of the same formula = 111 meV per atom
Calculated formation energy = -11 meV per atom